PBE GaBTe2As, relaxed; formation energy (no corrections) = 0.870 eV per atom; space-group type = P4/mmm, No. 123; energy above the most stable polymorph in this dataset = 0.0 meV/atom
1.0
-5.408 -0.660 1.110
0.895 -2.353 2.961
0.169 4.376 3.426
As Te B Ga
1 2 1 1
Direct
0.500 0.500 0.500
0.000 0.000 0.500
0.500 0.000 0.000
0.000 0.500 0.000
0.000 0.000 0.000